VASP calculation (GGA-PBE) on an optimized crystal structure of CeZnB5O10.

Structure (extended XYZ):
```
68
Lattice="7.688 0.000 0.000 0.000 8.839 -0.005 0.000 0.424 9.552" Properties=species:S:1:pos:R:3 pbc="T T T"
B 6.266 3.826 0.811
B 0.612 3.744 2.263
B 4.095 2.684 4.260
B 4.456 0.888 2.510
B 6.935 5.981 4.791
B 7.076 5.519 7.283
B 1.422 5.437 8.735
B 3.092 7.914 9.529
B 2.422 0.806 3.962
B 3.593 6.579 5.286
B 5.180 4.550 5.802
B 1.336 0.506 8.523
B 0.251 1.947 0.513
B 5.266 8.458 5.584
B 0.752 3.282 4.756
B 4.596 1.349 0.017
B 3.232 8.376 7.037
B 2.507 4.713 3.744
B 7.436 7.316 9.033
B 6.351 8.758 1.024
O 6.728 2.757 0.085
O 5.031 4.433 0.639
O 2.119 8.474 0.122
O 6.526 6.438 8.291
O 1.725 4.266 4.901
O 1.643 4.776 2.531
O 3.020 6.093 3.985
O 5.569 0.790 9.424
O 1.187 0.199 4.134
O 5.006 1.807 3.517
O 0.274 2.959 3.504
O 2.682 7.457 6.029
O 4.493 9.004 6.593
O 7.038 4.372 1.820
O 4.804 7.388 4.858
O 6.864 7.378 0.783
O 6.501 9.064 5.412
O 4.186 2.422 8.454
O 1.162 2.825 1.256
O 2.884 1.875 4.688
O 4.049 5.457 6.165
O 2.201 0.568 7.310
O 3.639 3.806 3.382
O 7.483 0.826 1.391
O 3.195 0.259 2.953
O 0.342 2.633 5.871
O 2.657 4.831 8.908
O 0.205 8.438 8.155
O 5.487 8.695 2.236
O 6.045 4.487 7.015
O 4.118 1.672 1.269
O 0.960 6.507 9.461
O 7.346 6.630 3.675
O 0.649 4.891 7.727
O 5.963 4.997 4.645
O 0.824 1.885 8.763
O 3.502 6.841 1.092
O 4.668 3.171 5.562
O 3.570 7.591 8.277
O 7.414 6.304 6.042
Zn 7.007 1.127 3.595
Zn 4.525 5.759 8.369
Zn 0.681 8.136 5.951
Zn 3.163 3.504 1.178
Ce 5.253 6.161 2.505
Ce 2.435 3.102 7.041
Ce 1.409 7.310 2.262
Ce 6.279 1.953 7.284
```

Computed properties:
E_form (uncorrected) in eV/atom: -2.484
Space group: No. 14

=====

VASP calculation (GGA-PBE) on an optimized crystal structure of TiAlSe2.

Structure (extended XYZ):
```
4
Lattice="-3.365 2.477 7.632 0.006 2.535 8.324 -1.483 5.233 6.792" Properties=species:S:1:pos:R:3 pbc="T T T"
Se -4.338 9.179 20.382
Se -0.504 1.066 2.366
Al 0.000 0.000 0.000
Ti -2.421 5.122 11.374
```

Computed properties:
E_form (uncorrected) in eV/atom: -0.670
Space group: No. 166

=====

no.,total DFT energy (no corrections) (eV/atom),V (Å³ per cell)
1,-7.788,649.1
2,-5.321,86.9